[1]
A relaxed structure of Sm6Sb5As, computed with PBE.

Unit cell a=7.672 b=7.679 c=7.674 alpha=59.98 beta=80.38 gamma=70.50
Fractional positions:
Sm1 0.757 0.081 0.323
Sm2 0.757 0.404 0.677
Sm3 0.753 0.759 0.000
Sm4 0.243 0.596 0.323
Sm5 0.243 0.919 0.677
Sm6 0.247 0.241 0.000
Sb1 0.500 0.170 0.659
Sb2 0.000 0.666 0.668
Sb3 0.500 0.500 0.000
Sb4 0.000 0.334 0.332
Sb5 0.500 0.830 0.341
As1 0.000 0.000 0.000

As for the uncorrected formation energy: -1.2233 eV per atom. Its space-group type is C2/m.



[2]
A relaxed structure of AcCdRu, computed with PBE.

Unit cell a=4.371 b=5.507 c=7.281 alpha=104.06 beta=107.47 gamma=90.00
Fractional positions:
Cd1 0.577 0.782 0.154
Cd2 0.423 0.218 0.846
Ru1 0.227 0.904 0.453
Ru2 0.773 0.096 0.547
Ac1 0.874 0.680 0.748
Ac2 0.126 0.320 0.252

The calculation puts the energy above the lowest structure with this stoichiometry at 29 meV/atom. As for the formation enthalpy at 0 K: -0.14 eV/atom. Its space-group type is C2/m.



[3]
A relaxed structure of K3SmHo2O6, computed with PBE.

Unit cell a=6.072 b=6.072 c=6.587 alpha=98.84 beta=98.84 gamma=120.00
Fractional positions:
Sm1 0.000 0.000 0.000
K1 0.500 0.500 0.500
K2 0.832 0.168 0.500
K3 0.168 0.832 0.500
O1 0.062 0.403 0.186
O2 0.597 0.938 0.814
O3 0.721 0.721 0.186
O4 0.403 0.062 0.186
O5 0.279 0.279 0.814
O6 0.938 0.597 0.814
Ho1 0.667 0.333 0.000
Ho2 0.333 0.667 0.000

As for the uncorrected formation energy: -2.7407 eV per atom. Its space-group type is C2/m.



> Number 3 is which compound?

K3SmHo2O6



> Number 1 is which compound?

Sm6Sb5As